# Ca2SmI

A relaxed Ca2SmI crystal (GGA-PBE, the Alexandria database).

```
4
Lattice="1.955 1.129 10.903 -1.955 1.129 10.903 0.000 -2.258 10.903" Properties=species:S:1:pos:R:3 pbc="T T T"
Ca 0.000 0.000 7.922
Ca 0.000 0.000 24.787
Sm 0.000 0.000 0.000
I 0.000 0.000 16.354
```

relative energy among the computed polymorphs	0.000	eV per atom
magnetization	0.000	μB per formula unit
N(E_F)	4.0	states/eV/cell
E	-12.17	eV for the cell shown
E_form (uncorrected)	-0.4752	eV per atom

# CsReCl4

A relaxed CsReCl4 crystal (GGA-PBE, the Alexandria database).

```
12
Lattice="9.412 -3.687 0.000 9.412 3.687 0.000 -1.309 0.000 5.065" Properties=species:S:1:pos:R:3 pbc="T T T"
Cs 3.522 0.000 0.975
Cs 13.993 0.000 4.089
Re 7.757 0.000 3.128
Re 9.758 0.000 1.937
Cl 6.841 1.795 2.012
Cl 9.412 1.511 0.000
Cl 4.993 0.000 4.051
Cl 10.673 1.795 3.053
Cl 6.841 -1.795 2.012
Cl 12.521 0.000 1.013
Cl 9.412 -1.511 0.000
Cl 10.673 -1.795 3.053
```

relative energy among the computed polymorphs	0.157	eV per atom
magnetization	1.001	μB per formula unit
N(E_F)	1.5	states/eV/cell
E	-53.15	eV for the cell shown
E_form (uncorrected)	-0.9812	eV per atom

# ScTlBr2

A relaxed ScTlBr2 crystal (GGA-PBE, the Alexandria database).

```
4
Lattice="1.825 1.053 10.386 -1.825 1.053 10.386 0.000 -2.107 10.386" Properties=species:S:1:pos:R:3 pbc="T T T"
Sc 0.000 0.000 0.000
Tl 0.000 0.000 15.579
Br 0.000 0.000 8.637
Br 0.000 0.000 22.522
```

relative energy among the computed polymorphs	0.017	eV per atom
magnetization	0.379	μB per formula unit
N(E_F)	3.4	states/eV/cell
E	-16.12	eV for the cell shown
E_form (uncorrected)	-1.0196	eV per atom

# MgZr2Pd

A relaxed MgZr2Pd crystal (GGA-PBE, the Alexandria database).

```
4
Lattice="3.532 0.000 0.000 0.000 3.532 0.000 0.000 0.000 6.437" Properties=species:S:1:pos:R:3 pbc="T T T"
Mg 0.000 0.000 0.000
Zr 1.766 1.766 1.679
Zr 1.766 1.766 4.758
Pd 0.000 0.000 3.219
```

energy of formation from the pure elements	-0.241	eV per atom
magnetization	0.000	μB per formula unit
N(E_F)	3.6	states/eV/cell
E	-24.85	eV for the cell shown

# BaFeCl

A relaxed BaFeCl crystal (GGA-PBE, the Alexandria database).

```
3
Lattice="0.000 3.831 3.831 3.831 0.000 3.831 3.831 3.831 0.000" Properties=species:S:1:pos:R:3 pbc="T T T"
Ba 0.000 0.000 0.000
Fe 5.746 5.746 5.746
Cl 1.915 1.915 1.915
```

relative energy among the computed polymorphs	0.139	eV per atom
magnetization	3.000	μB per formula unit
N(E_F)	9.8	states/eV/cell
E	-12.19	eV for the cell shown
E_form (uncorrected)	0.0142	eV per atom

# Re2TcCl

A relaxed Re2TcCl crystal (GGA-PBE, the Alexandria database).

```
4
Lattice="-1.444 2.241 4.466 1.444 -2.241 4.466 1.444 2.241 -4.466" Properties=species:S:1:pos:R:3 pbc="T T T"
Re 0.000 0.000 0.000
Re 0.000 2.241 2.072
Tc 1.444 0.000 2.433
Cl 0.000 0.000 4.461
```

relative energy among the computed polymorphs	0.457	eV per atom
magnetization	0.003	μB per formula unit
N(E_F)	3.1	states/eV/cell
E	-33.96	eV for the cell shown
E_form (uncorrected)	0.7861	eV per atom

# Y6Zn5Pb

A relaxed Y6Zn5Pb crystal (GGA-PBE, the Alexandria database).

```
12
Lattice="-2.562 3.626 7.717 2.562 -3.626 7.717 2.562 3.626 -7.717" Properties=species:S:1:pos:R:3 pbc="T T T"
Y 2.562 1.765 -2.649
Y 0.000 1.716 0.000
Y 2.562 1.765 2.649
Y 0.000 1.861 5.068
Y 0.000 5.536 0.000
Y 0.000 1.861 10.365
Zn 2.562 0.000 0.000
Zn 0.000 0.000 2.594
Zn 2.562 0.000 5.089
Zn 0.000 3.626 2.628
Zn 0.000 0.000 12.839
Pb 0.000 0.000 7.717
```

energy of formation from the pure elements	-0.382	eV per atom
magnetization	0.000	μB per formula unit
N(E_F)	11.4	states/eV/cell
E	-53.45	eV for the cell shown

# BiAsSe2I

A relaxed BiAsSe2I crystal (GGA-PBE, the Alexandria database).

```
5
Lattice="5.393 0.000 0.000 0.000 5.393 0.000 0.000 0.000 5.911" Properties=species:S:1:pos:R:3 pbc="T T T"
Bi 0.000 0.000 0.000
As 0.000 0.000 2.956
Se 0.000 2.697 0.000
Se 2.697 0.000 0.000
I 2.697 2.697 2.956
```

relative energy among the computed polymorphs	0.000	eV per atom
magnetization	0.428	μB per formula unit
N(E_F)	6.7	states/eV/cell
E	-13.50	eV for the cell shown
E_form (uncorrected)	0.7108	eV per atom

# ZnAg3F6

A relaxed ZnAg3F6 crystal (GGA-PBE, the Alexandria database).

```
20
Lattice="5.580 0.000 0.000 0.000 5.881 0.000 -5.532 0.000 8.861" Properties=species:S:1:pos:R:3 pbc="T T T"
Zn 0.000 0.000 0.000
Zn -2.766 2.941 4.431
Ag -2.892 0.461 6.752
Ag -0.126 2.480 2.322
Ag 0.024 0.000 4.431
Ag 2.790 2.941 0.000
Ag 0.174 3.401 6.539
Ag 2.940 5.421 2.109
F -1.795 1.265 3.707
F -4.561 1.676 8.138
F -1.121 4.064 3.802
F -3.888 4.758 8.232
F 0.810 0.414 1.849
F -1.957 2.527 6.279
F 2.005 3.354 2.582
F -0.762 5.468 7.012
F 3.936 1.123 0.629
F 1.169 1.817 5.059
F 4.609 4.205 0.723
F 1.843 4.617 5.154
```

magnetization	1.049	μB per formula unit
N(E_F)	12.3	states/eV/cell
E	-70.59	eV for the cell shown
E_form (uncorrected)	-1.4238	eV per atom

# NaPr2

A relaxed NaPr2 crystal (GGA-PBE, the Alexandria database).

```
3
Lattice="0.000 2.560 8.381 2.553 0.000 8.381 2.553 2.560 0.000" Properties=species:S:1:pos:R:3 pbc="T T T"
Na 0.000 0.000 0.000
Pr 2.553 2.560 5.483
Pr 2.553 2.560 11.280
```

energy of formation from the pure elements	0.110	eV per atom
magnetization	0.000	μB per formula unit
N(E_F)	3.1	states/eV/cell
E	-10.55	eV for the cell shown

# InSnICl4

A relaxed InSnICl4 crystal (GGA-PBE, the Alexandria database).

```
14
Lattice="6.910 -4.727 0.000 6.910 4.727 0.000 -3.744 0.000 8.575" Properties=species:S:1:pos:R:3 pbc="T T T"
In 0.872 0.000 2.157
In 9.204 0.000 6.419
Sn 1.307 0.000 7.354
Sn 8.770 0.000 1.222
I 5.947 0.000 1.854
I 4.130 0.000 6.721
Cl 2.304 1.896 1.652
Cl -2.425 0.000 7.303
Cl 0.510 0.000 4.551
Cl 2.304 -1.896 1.652
Cl 7.772 1.896 6.923
Cl 9.567 0.000 4.024
Cl 12.501 0.000 1.272
Cl 7.772 -1.896 6.923
```

magnetization	0.000	μB per formula unit
N(E_F)	0.0	states/eV/cell
E	-43.89	eV for the cell shown
E_form (uncorrected)	-0.8954	eV per atom

# ZnSiAg2

A relaxed ZnSiAg2 crystal (GGA-PBE, the Alexandria database).

```
4
Lattice="0.000 3.220 3.220 3.220 0.000 3.220 3.220 3.220 0.000" Properties=species:S:1:pos:R:3 pbc="T T T"
Zn 0.000 0.000 0.000
Si 3.220 3.220 3.220
Ag 1.610 1.610 1.610
Ag 4.830 4.830 4.830
```

relative energy among the computed polymorphs	0.114	eV per atom
magnetization	0.000	μB per formula unit
N(E_F)	1.2	states/eV/cell
E	-11.43	eV for the cell shown
E_form (uncorrected)	0.2426	eV per atom

# SrCr2SiS6

A relaxed SrCr2SiS6 crystal (GGA-PBE, the Alexandria database).

```
10
Lattice="3.150 1.819 5.603 -3.150 1.819 5.603 0.000 -3.637 5.603" Properties=species:S:1:pos:R:3 pbc="T T T"
Sr 0.000 0.000 0.000
Cr 0.000 0.000 4.524
Cr 0.000 0.000 13.164
Si 0.000 0.000 7.811
S -1.687 -0.449 6.339
S -1.087 -1.823 8.949
S 1.232 -1.236 6.339
S -1.035 1.853 8.949
S 0.455 1.685 6.339
S 2.123 -0.030 8.949
```

magnetization	6.000	μB per formula unit
N(E_F)	0.7	states/eV/cell
E	-59.03	eV for the cell shown
E_form (uncorrected)	-0.7918	eV per atom

# Ta2CuCl

A relaxed Ta2CuCl crystal (GGA-PBE, the Alexandria database).

```
4
Lattice="2.947 0.000 0.000 0.000 4.551 0.000 0.000 0.000 5.113" Properties=species:S:1:pos:R:3 pbc="T T T"
Ta 0.000 0.000 0.000
Ta 1.474 0.000 2.557
Cu 0.000 2.276 2.557
Cl 1.474 2.276 0.000
```

relative energy among the computed polymorphs	0.553	eV per atom
magnetization	0.000	μB per formula unit
N(E_F)	4.4	states/eV/cell
E	-27.43	eV for the cell shown
E_form (uncorrected)	0.5539	eV per atom

# Cs2PuInS4

A relaxed Cs2PuInS4 crystal (GGA-PBE, the Alexandria database).

```
8
Lattice="-3.871 3.871 4.930 3.871 -3.871 4.930 3.871 3.871 -4.930" Properties=species:S:1:pos:R:3 pbc="T T T"
Cs 0.000 0.000 0.000
Cs 0.000 3.871 2.465
Pu 3.871 0.000 2.465
In 0.000 0.000 4.930
S 1.830 -1.165 3.688
S 2.706 2.042 1.242
S 2.042 5.036 -1.242
S 1.165 1.830 6.172
```

magnetization	5.000	μB per formula unit
N(E_F)	10.7	states/eV/cell
E	-44.06	eV for the cell shown
E_form (uncorrected)	-1.0971	eV per atom

# Mg5Zn

A relaxed Mg5Zn crystal (GGA-PBE, the Alexandria database).

```
6
Lattice="5.152 0.000 0.000 0.000 1.541 8.050 0.000 -1.541 8.050" Properties=species:S:1:pos:R:3 pbc="T T T"
Mg 0.000 0.000 0.000
Mg 0.000 0.000 5.149
Mg 2.576 0.000 1.729
Mg 2.576 0.000 7.035
Mg 2.576 0.000 12.381
Zn 0.000 0.000 10.640
```

energy of formation from the pure elements	-0.014	eV per atom
magnetization	0.000	μB per formula unit
N(E_F)	2.1	states/eV/cell
E	-9.33	eV for the cell shown

# LiLa2SN

A relaxed LiLa2SN crystal (GGA-PBE, the Alexandria database).

```
5
Lattice="5.403 0.000 0.000 0.000 5.403 0.000 0.000 0.000 4.098" Properties=species:S:1:pos:R:3 pbc="T T T"
Li 0.000 0.000 0.000
La 0.000 2.701 2.049
La 2.701 0.000 2.049
S 0.000 0.000 2.049
N 2.701 2.701 0.000
```

magnetization	0.000	μB per formula unit
N(E_F)	3.6	states/eV/cell
E	-25.43	eV for the cell shown
E_form (uncorrected)	-0.2415	eV per atom

# MnPbW

A relaxed MnPbW crystal (GGA-PBE, the Alexandria database).

```
3
Lattice="3.165 0.000 0.000 -1.582 2.741 0.000 0.000 0.000 6.633" Properties=species:S:1:pos:R:3 pbc="T T T"
Mn 0.000 0.000 0.000
Pb 0.000 1.827 2.466
W 1.582 0.914 5.142
```

relative energy among the computed polymorphs	0.017	eV per atom
energy of formation from the pure elements	0.702	eV per atom
magnetization	0.638	μB per formula unit
N(E_F)	1.8	states/eV/cell
E	-23.73	eV for the cell shown

# Tl2CdNiHg

A relaxed Tl2CdNiHg crystal (GGA-PBE, the Alexandria database).

```
5
Lattice="5.105 0.000 0.000 0.000 5.105 0.000 0.000 0.000 5.163" Properties=species:S:1:pos:R:3 pbc="T T T"
Tl 0.000 2.552 0.000
Tl 2.552 0.000 0.000
Cd 0.000 0.000 2.581
Ni 0.000 0.000 0.000
Hg 2.552 2.552 2.581
```

relative energy among the computed polymorphs	0.000	eV per atom
energy of formation from the pure elements	0.066	eV per atom
magnetization	0.000	μB per formula unit
N(E_F)	1.7	states/eV/cell
E	-11.40	eV for the cell shown

# CaTlZn2Hg

A relaxed CaTlZn2Hg crystal (GGA-PBE, the Alexandria database).

```
5
Lattice="5.689 0.000 0.000 0.000 5.689 0.000 0.000 0.000 5.874" Properties=species:S:1:pos:R:3 pbc="T T T"
Ca 0.000 0.000 0.000
Tl 2.844 2.844 2.937
Zn 0.000 2.844 0.000
Zn 2.844 0.000 0.000
Hg 0.000 0.000 2.937
```

energy of formation from the pure elements	0.492	eV per atom
magnetization	0.000	μB per formula unit
N(E_F)	8.4	states/eV/cell
E	-4.76	eV for the cell shown

# ThSnGeRh3

A relaxed ThSnGeRh3 crystal (GGA-PBE, the Alexandria database).

```
12
Lattice="2.889 -8.048 0.000 2.889 8.048 0.000 0.000 0.000 5.646" Properties=species:S:1:pos:R:3 pbc="T T T"
Th 2.889 4.650 4.234
Th 2.889 -4.650 1.411
Sn 2.889 1.611 1.411
Sn 2.889 -1.611 4.234
Ge 2.889 6.660 1.411
Ge 2.889 -6.660 4.234
Rh 2.889 4.219 1.411
Rh 1.412 0.000 0.000
Rh 1.412 0.000 2.823
Rh 4.367 0.000 0.000
Rh 4.367 0.000 2.823
Rh 2.889 -4.219 4.234
```

energy of formation from the pure elements	-0.543	eV per atom
magnetization	0.000	μB per formula unit
N(E_F)	6.2	states/eV/cell
E	-82.70	eV for the cell shown

# Tb5GeTe4

A relaxed Tb5GeTe4 crystal (GGA-PBE, the Alexandria database).

```
10
Lattice="-4.870 4.870 3.057 4.870 -4.870 3.057 4.870 4.870 -3.057" Properties=species:S:1:pos:R:3 pbc="T T T"
Tb 0.000 0.000 0.000
Tb 5.813 2.189 0.000
Tb 2.189 3.927 0.000
Tb 2.680 0.943 3.057
Tb -0.943 2.680 3.057
Ge 0.000 0.000 3.057
Te 2.977 0.898 0.000
Te 3.971 -1.892 3.057
Te 0.898 6.762 0.000
Te 1.892 3.971 3.057
```

magnetization	0.000	μB per formula unit
N(E_F)	5.5	states/eV/cell
E	-53.38	eV for the cell shown
E_form (uncorrected)	-1.3046	eV per atom

# Na10B17C3

A relaxed Na10B17C3 crystal (GGA-PBE, the Alexandria database).

```
30
Lattice="7.478 -2.542 0.000 7.478 2.542 0.000 -5.986 0.000 8.639" Properties=species:S:1:pos:R:3 pbc="T T T"
Na -1.492 0.000 2.165
Na -1.496 0.013 6.476
Na 1.495 -0.001 2.143
Na 4.483 0.012 2.153
Na 1.493 -0.008 6.485
Na 4.486 0.012 6.486
Na 7.477 -0.008 2.154
Na 10.465 0.013 2.163
Na 7.474 -0.001 6.495
Na 10.461 0.000 6.474
B -2.961 0.924 8.633
B 7.478 1.603 0.000
B 5.931 0.846 0.010
B 3.077 0.837 4.319
B -3.025 -0.812 8.632
B 0.021 -0.921 4.319
B 5.892 0.837 4.320
B 3.039 0.846 8.629
B 6.036 -0.887 0.008
B 1.610 -1.533 4.318
B 11.931 0.924 0.006
B 2.934 -0.887 8.631
B 4.485 -1.711 4.319
B 7.478 -1.740 0.000
B 11.995 -0.812 0.006
B 8.949 -0.921 4.320
B 7.360 -1.533 4.321
C 4.485 1.661 4.319
C 3.065 -0.877 4.319
C 5.905 -0.877 4.320
```

relative energy among the computed polymorphs	0.029	eV per atom
energy of formation from the pure elements	0.234	eV per atom
magnetization	0.000	μB per formula unit
N(E_F)	3.9	states/eV/cell
E	-147.35	eV for the cell shown

# SrAc4Ir4

A relaxed SrAc4Ir4 crystal (GGA-PBE, the Alexandria database).

```
18
Lattice="9.553 0.000 0.000 0.000 9.553 0.000 0.000 0.000 6.019" Properties=species:S:1:pos:R:3 pbc="T T T"
Sr 2.388 2.388 1.505
Sr 7.164 7.164 4.514
Ac 0.672 6.265 0.994
Ac 1.489 8.880 4.003
Ac 3.288 5.448 4.003
Ac 4.104 8.064 0.994
Ac 5.448 1.489 5.025
Ac 6.265 4.104 2.016
Ac 8.064 0.672 2.016
Ac 8.880 3.288 5.025
Ir 0.386 5.874 3.929
Ir 1.097 9.167 0.919
Ir 3.679 5.162 0.919
Ir 4.390 8.455 3.929
Ir 5.162 1.097 2.090
Ir 5.874 4.390 5.100
Ir 8.455 0.386 5.100
Ir 9.167 3.679 2.090
```

energy of formation from the pure elements	-0.459	eV per atom
magnetization	0.000	μB per formula unit
N(E_F)	7.2	states/eV/cell
E	-115.37	eV for the cell shown